A plane-wave DFT calculation with GGA-PBE was carried out for Th4Zn2Hg5 after structural relaxation.

Calculated values
Its formation energy is -0.196 eV per atom. The crystal system is monoclinic. Its density is 12.14 g cm⁻³. As for the size of the total moment: 0.00 μB/f.u. The density of states at the Fermi level comes out at 8.957 states/eV per cell.

abc: 3.462 7.993 10.238
angles: 95.08 90.00 90.00
Atoms (fractional coordinates):
1 Hg 0.000 0.438 0.694
2 Hg 0.000 0.562 0.306
3 Hg 0.000 0.500 0.000
4 Hg 0.000 0.820 0.838
5 Hg 0.000 0.180 0.162
6 Th 0.500 0.261 0.443
7 Th 0.500 0.739 0.557
8 Th 0.500 0.827 0.124
9 Th 0.500 0.173 0.876
10 Zn 0.000 0.059 0.629
11 Zn 0.000 0.941 0.371

---

A plane-wave DFT calculation with GGA-PBE was carried out for Th2Zn3Hg after structural relaxation.

Calculated values
Its formation energy is -0.260 eV per atom. The crystal system is orthorhombic. Its density is 10.48 g cm⁻³. As for the size of the total moment: 0.00 μB/f.u. The density of states at the Fermi level comes out at 10.913 states/eV per cell.

abc: 5.900 5.900 8.880
angles: 104.11 104.11 105.45
Atoms (fractional coordinates):
1 Th 0.750 0.250 0.500
2 Th 0.250 0.750 0.500
3 Th 0.747 0.747 0.000
4 Th 0.253 0.253 0.000
5 Hg 0.667 0.667 0.334
6 Hg 0.333 0.333 0.666
7 Zn 0.162 0.676 0.838
8 Zn 0.324 0.838 0.162
9 Zn 0.838 0.838 0.677
10 Zn 0.162 0.162 0.323
11 Zn 0.838 0.324 0.162
12 Zn 0.676 0.162 0.838

---

A plane-wave DFT calculation with GGA-PBE was carried out for Th3Zn9Hg2 after structural relaxation.

Calculated values
Its formation energy is -0.244 eV per atom. The crystal system is orthorhombic. Its density is 9.97 g cm⁻³. As for the size of the total moment: 0.00 μB/f.u. The density of states at the Fermi level comes out at 6.400 states/eV per cell.

abc: 4.523 9.069 8.519
angles: 122.16 105.39 90.00
Atoms (fractional coordinates):
1 Th 0.707 0.707 0.413
2 Th 0.000 0.000 0.000
3 Th 0.293 0.293 0.587
4 Hg 0.500 0.691 0.000
5 Hg 0.500 0.309 0.000
6 Zn 0.850 0.575 0.701
7 Zn 0.000 0.500 0.000
8 Zn 0.850 0.126 0.701
9 Zn 0.340 0.705 0.681
10 Zn 0.660 0.295 0.319
11 Zn 0.150 0.425 0.299
12 Zn 0.660 0.024 0.319
13 Zn 0.150 0.874 0.299
14 Zn 0.340 0.976 0.681

---

A plane-wave DFT calculation with GGA-PBE was carried out for Th4ZnHg3 after structural relaxation.

Calculated values
Its formation energy is -0.181 eV per atom. The crystal system is orthorhombic. Its density is 12.30 g cm⁻³. As for the size of the total moment: 0.00 μB/f.u. The density of states at the Fermi level comes out at 16.186 states/eV per cell.

abc: 5.687 6.886 10.997
angles: 90.00 90.00 90.00
Atoms (fractional coordinates):
1 Zn 0.000 0.500 0.500
2 Zn 0.000 0.500 0.000
3 Hg 0.618 0.500 0.750
4 Hg 0.389 0.000 0.250
5 Hg 0.000 0.000 0.000
6 Hg 0.000 0.000 0.500
7 Hg 0.611 0.000 0.750
8 Hg 0.382 0.500 0.250
9 Th 0.500 0.745 0.500
10 Th 0.102 0.745 0.750
11 Th 0.898 0.255 0.250
12 Th 0.500 0.255 0.500
13 Th 0.500 0.255 0.000
14 Th 0.500 0.745 0.000
15 Th 0.898 0.745 0.250
16 Th 0.102 0.255 0.750

---

A plane-wave DFT calculation with GGA-PBE was carried out for Th4Zn2Hg after structural relaxation.

Calculated values
Its formation energy is 0.113 eV per atom. The crystal system is trigonal. Its density is 10.25 g cm⁻³. As for the size of the total moment: 0.00 μB/f.u. The density of states at the Fermi level comes out at 8.806 states/eV per cell.

abc: 4.965 4.965 9.975
angles: 75.59 75.59 60.00
Atoms (fractional coordinates):
1 Th 0.116 0.116 0.652
2 Th 0.299 0.299 0.104
3 Th 0.701 0.701 0.896
4 Th 0.884 0.884 0.348
5 Hg 0.500 0.500 0.500
6 Zn 0.595 0.595 0.215
7 Zn 0.405 0.405 0.785

---

A plane-wave DFT calculation with GGA-PBE was carried out for Th4ZnHg after structural relaxation.

Calculated values
Its formation energy is -0.131 eV per atom. The crystal system is tetragonal. Its density is 11.63 g cm⁻³. As for the size of the total moment: 0.00 μB/f.u. The density of states at the Fermi level comes out at 16.064 states/eV per cell.

abc: 5.744 7.706 7.706
angles: 90.00 90.00 90.00
Atoms (fractional coordinates):
1 Th 0.500 0.837 0.650
2 Th 0.000 0.837 0.350
3 Th 0.000 0.163 0.650
4 Th 0.500 0.650 0.163
5 Th 0.000 0.650 0.837
6 Th 0.500 0.163 0.350
7 Th 0.000 0.350 0.163
8 Th 0.500 0.350 0.837
9 Hg 0.750 0.000 0.000
10 Hg 0.250 0.000 0.000
11 Zn 0.250 0.500 0.500
12 Zn 0.750 0.500 0.500

---

A plane-wave DFT calculation with GGA-PBE was carried out for ThZnHg after structural relaxation.

Calculated values
Its formation energy is -0.261 eV per atom. The crystal system is monoclinic. Its density is 11.64 g cm⁻³. As for the size of the total moment: 0.00 μB/f.u. The density of states at the Fermi level comes out at 4.929 states/eV per cell.

abc: 4.765 5.963 6.006
angles: 73.65 66.63 66.45
Atoms (fractional coordinates):
1 Th 0.481 0.766 0.273
2 Th 0.519 0.234 0.727
3 Zn 0.844 0.185 0.126
4 Zn 0.156 0.815 0.874
5 Hg 0.176 0.361 0.287
6 Hg 0.824 0.639 0.713

---

A plane-wave DFT calculation with GGA-PBE was carried out for ThZn2Hg after structural relaxation.

Calculated values
Its formation energy is -0.155 eV per atom. The crystal system is trigonal. Its density is 10.75 g cm⁻³. As for the size of the total moment: 0.00 μB/f.u. The density of states at the Fermi level comes out at 1.642 states/eV per cell.

abc: 4.608 4.608 5.430
angles: 64.90 64.90 60.00
Atoms (fractional coordinates):
1 Th 0.000 0.000 0.000
2 Hg 0.500 0.500 0.500
3 Zn 0.226 0.226 0.323
4 Zn 0.774 0.774 0.677

---

A plane-wave DFT calculation with GGA-PBE was carried out for Th3Zn3Hg2 after structural relaxation.

Calculated values
Its formation energy is -0.229 eV per atom. The crystal system is orthorhombic. Its density is 11.20 g cm⁻³. As for the size of the total moment: 0.00 μB/f.u. The density of states at the Fermi level comes out at 16.693 states/eV per cell.

abc: 4.583 6.064 14.909
angles: 90.00 90.00 112.20
Atoms (fractional coordinates):
1 Th 0.077 0.154 0.616
2 Th 0.923 0.846 0.384
3 Th 0.923 0.846 0.116
4 Th 0.649 0.297 0.250
5 Th 0.077 0.154 0.884
6 Th 0.351 0.703 0.750
7 Hg 0.216 0.431 0.093
8 Hg 0.784 0.569 0.907
9 Hg 0.784 0.569 0.593
10 Hg 0.216 0.431 0.407
11 Zn 0.600 0.200 0.040
12 Zn 0.640 0.280 0.750
13 Zn 0.400 0.800 0.960
14 Zn 0.400 0.800 0.540
15 Zn 0.600 0.200 0.460
16 Zn 0.360 0.720 0.250

---

A plane-wave DFT calculation with GGA-PBE was carried out for ThZrZnHg after structural relaxation.

Calculated values
Its formation energy is -0.179 eV per atom. The crystal system is tetragonal. Its density is 10.70 g cm⁻³. As for the size of the total moment: 0.00 μB/f.u. The density of states at the Fermi level comes out at 3.409 states/eV per cell.

abc: 3.322 3.322 8.290
angles: 90.00 90.00 90.00
Atoms (fractional coordinates):
1 Zn 0.500 0.500 0.346
2 Hg 0.500 0.500 0.797
3 Th 0.000 0.000 0.087
4 Zr 0.000 0.000 0.555

---

A plane-wave DFT calculation with GGA-PBE was carried out for ThZrZnHg after structural relaxation.

Calculated values
Its formation energy is -0.097 eV per atom. The crystal system is cubic. Its density is 10.26 g cm⁻³. As for the size of the total moment: 0.00 μB/f.u. The density of states at the Fermi level comes out at 3.661 states/eV per cell.

abc: 5.128 5.128 5.128
angles: 60.00 60.00 60.00
Atoms (fractional coordinates):
1 Th 0.500 0.500 0.500
2 Zn 0.250 0.250 0.250
3 Hg 0.750 0.750 0.750
4 Zr 0.000 0.000 0.000

---

A plane-wave DFT calculation with GGA-PBE was carried out for ThZrHg after structural relaxation.

Calculated values
Its formation energy is -0.086 eV per atom. The crystal system is tetragonal. Its density is 11.23 g cm⁻³. As for the size of the total moment: 0.00 μB/f.u. The density of states at the Fermi level comes out at 3.906 states/eV per cell.

abc: 3.334 3.334 7.355
angles: 103.10 103.10 90.00
Atoms (fractional coordinates):
1 Zr 0.323 0.323 0.645
2 Hg 0.679 0.679 0.357
3 Th 0.999 0.999 0.997

---

A plane-wave DFT calculation with GGA-PBE was carried out for ThZrHg2 after structural relaxation.

Calculated values
Its formation energy is -0.179 eV per atom. The crystal system is tetragonal. Its density is 12.36 g cm⁻³. As for the size of the total moment: 0.00 μB/f.u. The density of states at the Fermi level comes out at 4.262 states/eV per cell.

abc: 3.341 3.341 8.715
angles: 90.00 90.00 90.00
Atoms (fractional coordinates):
1 Hg 0.000 0.000 0.772
2 Hg 0.000 0.000 0.228
3 Zr 0.500 0.500 0.000
4 Th 0.500 0.500 0.500

---

A plane-wave DFT calculation with GGA-PBE was carried out for Th3ZrHg2 after structural relaxation.

Calculated values
Its formation energy is -0.078 eV per atom. The crystal system is orthorhombic. Its density is 11.84 g cm⁻³. As for the size of the total moment: 0.00 μB/f.u. The density of states at the Fermi level comes out at 14.421 states/eV per cell.

abc: 4.749 7.717 9.562
angles: 90.00 90.00 72.08
Atoms (fractional coordinates):
1 Th 0.500 0.000 0.247
2 Th 0.165 0.671 0.251
3 Th 0.500 0.000 0.753
4 Th 0.835 0.329 0.251
5 Th 0.835 0.329 0.749
6 Th 0.165 0.671 0.749
7 Hg 0.335 0.330 0.500
8 Hg 0.665 0.670 0.500
9 Hg 0.000 0.000 0.500
10 Hg 0.000 0.000 0.000
11 Zr 0.673 0.654 0.000
12 Zr 0.327 0.346 0.000

---

A plane-wave DFT calculation with GGA-PBE was carried out for ThZrHg2 after structural relaxation.

Calculated values
Its formation energy is -0.131 eV per atom. The crystal system is tetragonal. Its density is 12.24 g cm⁻³. As for the size of the total moment: 0.00 μB/f.u. The density of states at the Fermi level comes out at 3.309 states/eV per cell.

abc: 4.576 4.635 4.635
angles: 90.00 90.00 90.00
Atoms (fractional coordinates):
1 Zr 0.500 0.000 0.000
2 Th 0.500 0.500 0.500
3 Hg 0.000 0.000 0.500
4 Hg 0.000 0.500 0.000

---

A plane-wave DFT calculation with GGA-PBE was carried out for ThZrHg2 after structural relaxation.

Calculated values
Its formation energy is -0.105 eV per atom. The crystal system is cubic. Its density is 11.88 g cm⁻³. As for the size of the total moment: 0.00 μB/f.u. The density of states at the Fermi level comes out at 4.432 states/eV per cell.

abc: 5.232 5.232 5.232
angles: 60.00 60.00 60.00
Atoms (fractional coordinates):
1 Hg 0.250 0.250 0.250
2 Hg 0.750 0.750 0.750
3 Th 0.000 0.000 0.000
4 Zr 0.500 0.500 0.500

---

A plane-wave DFT calculation with GGA-PBE was carried out for Th2ZrHg6 after structural relaxation.

Calculated values
Its formation energy is -0.158 eV per atom. The crystal system is hexagonal. Its density is 13.36 g cm⁻³. As for the size of the total moment: 0.00 μB/f.u. The density of states at the Fermi level comes out at 5.729 states/eV per cell.

abc: 3.346 8.685 8.685
angles: 60.00 89.98 89.98
Atoms (fractional coordinates):
1 Hg 0.499 0.000 0.673
2 Hg 0.501 0.327 0.000
3 Hg 0.501 0.000 0.327
4 Hg 0.499 0.673 0.000
5 Hg 0.500 0.673 0.327
6 Hg 0.500 0.327 0.673
7 Th 0.000 0.333 0.333
8 Th 0.000 0.667 0.667
9 Zr 0.000 0.000 0.000

---

A plane-wave DFT calculation with GGA-PBE was carried out for ThZrHg after structural relaxation.

Calculated values
Its formation energy is 0.135 eV per atom. The crystal system is monoclinic. Its density is 10.78 g cm⁻³. As for the size of the total moment: 0.00 μB/f.u. The density of states at the Fermi level comes out at 7.469 states/eV per cell.

abc: 3.281 6.190 8.708
angles: 72.26 79.14 74.63
Atoms (fractional coordinates):
1 Hg 0.855 0.084 0.205
2 Hg 0.145 0.916 0.795
3 Zr 0.623 0.235 0.520
4 Zr 0.377 0.765 0.480
5 Th 0.387 0.360 0.867
6 Th 0.613 0.640 0.133

---

A plane-wave DFT calculation with GGA-PBE was carried out for ThZrHg after structural relaxation.

Calculated values
Its formation energy is 0.061 eV per atom. The crystal system is hexagonal. Its density is 10.99 g cm⁻³. As for the size of the total moment: 0.00 μB/f.u. The density of states at the Fermi level comes out at 4.497 states/eV per cell.

abc: 3.397 5.186 5.186
angles: 120.00 90.00 90.00
Atoms (fractional coordinates):
1 Th 0.667 0.667 0.333
2 Hg 0.167 0.333 0.667
3 Zr 0.166 0.000 0.000

---

A plane-wave DFT calculation with GGA-PBE was carried out for TiHg6 after structural relaxation.

Calculated values
Its formation energy is 0.720 eV per atom. The crystal system is cubic. Its density is 7.77 g cm⁻³. As for the size of the total moment: 3.15 μB/f.u. The density of states at the Fermi level comes out at 9.473 states/eV per cell.

abc: 7.030 7.030 7.030
angles: 109.47 109.47 109.47
Atoms (fractional coordinates):
1 Ti 0.000 0.000 0.000
2 Hg 0.500 0.250 0.750
3 Hg 0.250 0.750 0.500
4 Hg 0.250 0.500 0.750
5 Hg 0.750 0.250 0.500
6 Hg 0.750 0.500 0.250
7 Hg 0.500 0.750 0.250

---

A plane-wave DFT calculation with GGA-PBE was carried out for Ti3Hg after structural relaxation.

Calculated values
Its formation energy is 0.089 eV per atom. The crystal system is cubic. Its density is 7.99 g cm⁻³. As for the size of the total moment: 2.06 μB/f.u. The density of states at the Fermi level comes out at 5.954 states/eV per cell.

abc: 4.659 4.659 4.659
angles: 60.00 60.00 60.00
Atoms (fractional coordinates):
1 Ti 0.250 0.250 0.250
2 Ti 0.000 0.000 0.000
3 Ti 0.750 0.750 0.750
4 Hg 0.500 0.500 0.500

---

A plane-wave DFT calculation with GGA-PBE was carried out for TiHg after structural relaxation.

Calculated values
Its formation energy is 0.419 eV per atom. The crystal system is cubic. Its density is 9.56 g cm⁻³. As for the size of the total moment: 0.59 μB/f.u. The density of states at the Fermi level comes out at 11.355 states/eV per cell.

abc: 5.569 5.569 5.569
angles: 90.00 90.00 90.00
Atoms (fractional coordinates):
1 Hg 0.000 0.500 0.000
2 Hg 0.500 0.500 0.500
3 Hg 0.000 0.000 0.500
4 Hg 0.500 0.000 0.000
5 Ti 0.000 0.000 0.000
6 Ti 0.500 0.000 0.500
7 Ti 0.000 0.500 0.500
8 Ti 0.500 0.500 0.000

---

A plane-wave DFT calculation with GGA-PBE was carried out for TiHg3 after structural relaxation.

Calculated values
Its formation energy is 0.182 eV per atom. The crystal system is tetragonal. Its density is 12.50 g cm⁻³. As for the size of the total moment: 1.90 μB/f.u. The density of states at the Fermi level comes out at 3.312 states/eV per cell.

abc: 4.296 4.296 5.576
angles: 112.66 112.66 90.00
Atoms (fractional coordinates):
1 Ti 0.000 0.000 0.000
2 Hg 0.250 0.750 0.500
3 Hg 0.750 0.250 0.500
4 Hg 0.500 0.500 0.000

---

A plane-wave DFT calculation with GGA-PBE was carried out for TiHg3 after structural relaxation.

Calculated values
Its formation energy is 0.171 eV per atom. The crystal system is orthorhombic. Its density is 11.87 g cm⁻³. As for the size of the total moment: 1.21 μB/f.u. The density of states at the Fermi level comes out at 2.746 states/eV per cell.

abc: 3.054 3.118 9.541
angles: 90.00 90.00 90.00
Atoms (fractional coordinates):
1 Ti 0.000 0.000 0.974
2 Hg 0.500 0.500 0.180
3 Hg 0.000 0.500 0.460
4 Hg 0.500 0.000 0.720

---

A plane-wave DFT calculation with GGA-PBE was carried out for TiHg after structural relaxation.

Calculated values
Its formation energy is 0.345 eV per atom. The crystal system is tetragonal. Its density is 9.68 g cm⁻³. As for the size of the total moment: 1.13 μB/f.u. The density of states at the Fermi level comes out at 9.210 states/eV per cell.

abc: 5.488 5.488 5.660
angles: 90.00 90.00 90.00
Atoms (fractional coordinates):
1 Ti 0.679 0.321 0.000
2 Ti 0.179 0.179 0.500
3 Ti 0.821 0.821 0.500
4 Ti 0.321 0.679 0.000
5 Hg 0.313 0.687 0.500
6 Hg 0.687 0.313 0.500
7 Hg 0.813 0.813 0.000
8 Hg 0.187 0.187 0.000